[1]
## Ce4As3 (GGA-PBE)

Data for Ce4As3 after structural relaxation. Values from VASP.

Quantum ESPRESSO input file:
```
&SYSTEM
  ibrav = 0, nat = 7, ntyp = 2
/
ATOMIC_SPECIES
Ce 140.12 Ce.upf
As 74.92 As.upf
CELL_PARAMETERS angstrom
-1.667 -3.502 1.784
-0.560 -3.527 -2.340
10.086 -6.006 2.743
ATOMIC_POSITIONS crystal
Ce 0.381 0.381 0.858
Ce 0.141 0.141 0.578
Ce 0.859 0.859 0.422
Ce 0.619 0.619 0.142
As 0.763 0.763 0.712
As 0.237 0.237 0.288
As 0.000 0.000 0.000
```

Summary:
DOS at the Fermi energy, states/eV/cell: 20.09
Formation energy, eV per formula unit: -7.5
Offset from the most stable computed form, meV/atom: 120.4

=====

[2]
## CeAs (GGA-PBE)

Data for CeAs after structural relaxation. Values from VASP.

Quantum ESPRESSO input file:
```
&SYSTEM
  ibrav = 0, nat = 2, ntyp = 2
/
ATOMIC_SPECIES
As 74.92 As.upf
Ce 140.12 Ce.upf
CELL_PARAMETERS angstrom
4.218 0.000 0.000
2.109 3.653 0.000
2.109 1.218 3.444
ATOMIC_POSITIONS crystal
As 0.000 0.000 0.000
Ce 0.500 0.500 0.500
```

Summary:
DOS at the Fermi energy, states/eV/cell: 4.85
Formation energy, eV per formula unit: -2.8

=====

[3]
## Ce3As4 (GGA-PBE)

Data for Ce3As4 after structural relaxation. Values from VASP.

Quantum ESPRESSO input file:
```
&SYSTEM
  ibrav = 0, nat = 14, ntyp = 2
/
ATOMIC_SPECIES
Ce 140.12 Ce.upf
As 74.92 As.upf
CELL_PARAMETERS angstrom
-7.514 -0.335 0.782
1.793 -0.437 -7.333
3.181 -5.764 3.720
ATOMIC_POSITIONS crystal
Ce 0.125 0.375 0.250
Ce 0.625 0.750 0.875
Ce 0.875 0.250 0.625
Ce 0.250 0.875 0.125
Ce 0.750 0.625 0.375
Ce 0.375 0.125 0.750
As 0.342 0.500 0.000
As 0.500 0.342 0.500
As 0.000 0.000 0.342
As 0.658 0.158 0.158
As 0.000 0.000 0.842
As 0.158 0.658 0.658
As 0.842 0.500 0.000
As 0.500 0.842 0.500
```

Summary:
DOS at the Fermi energy, states/eV/cell: 1.23
Formation energy, eV per formula unit: -8.9

=====

[4]
## CeAs3 (GGA-PBE)

Data for CeAs3 after structural relaxation. Values from VASP.

Quantum ESPRESSO input file:
```
&SYSTEM
  ibrav = 0, nat = 4, ntyp = 2
/
ATOMIC_SPECIES
As 74.92 As.upf
Ce 140.12 Ce.upf
CELL_PARAMETERS angstrom
4.359 0.000 0.000
0.000 4.359 0.000
0.000 0.000 4.359
ATOMIC_POSITIONS crystal
As 0.500 0.000 0.500
As 0.000 0.500 0.500
As 0.500 0.500 0.000
Ce 0.000 0.000 0.000
```

Summary:
DOS at the Fermi energy, states/eV/cell: 3.25
Formation energy, eV per formula unit: -2.8

=====

[5]
## CeAs3 (GGA-PBE)

Data for CeAs3 after structural relaxation. Values from VASP.

Quantum ESPRESSO input file:
```
&SYSTEM
  ibrav = 0, nat = 4, ntyp = 2
/
ATOMIC_SPECIES
As 74.92 As.upf
Ce 140.12 Ce.upf
CELL_PARAMETERS angstrom
-0.706 3.857 1.187
-1.735 0.798 -3.625
-3.259 -3.713 3.058
ATOMIC_POSITIONS crystal
As 0.750 0.250 0.500
As 0.250 0.750 0.500
As 0.500 0.500 0.000
Ce 0.000 0.000 0.000
```

Summary:
DOS at the Fermi energy, states/eV/cell: 2.58
Formation energy, eV per formula unit: -2.7

=====

[6]
## CeAs3 (GGA-PBE)

Data for CeAs3 after structural relaxation. Values from VASP.

Quantum ESPRESSO input file:
```
&SYSTEM
  ibrav = 0, nat = 4, ntyp = 2
/
ATOMIC_SPECIES
As 74.92 As.upf
Ce 140.12 Ce.upf
CELL_PARAMETERS angstrom
3.950 0.000 0.000
0.000 4.280 0.000
0.000 0.000 5.624
ATOMIC_POSITIONS crystal
As 0.500 0.189 0.000
As 0.500 0.535 0.500
As 0.000 0.925 0.500
Ce 0.000 0.684 0.000
```

Summary:
DOS at the Fermi energy, states/eV/cell: 3.75
Formation energy, eV per formula unit: -2.3